Arrangement i

A plane-wave DFT calculation with PBE was carried out for a relaxed structure of NdSnPt4. Values from VASP.

Properties
Fermi-level density of states = 0.70 states/eV per atom
volume = 115 Å³/f.u.
size of the total moment = 0.00 μB per atom

Structure (Quantum ESPRESSO input):
```
&SYSTEM
  ibrav = 0, nat = 6, ntyp = 3
/
ATOMIC_SPECIES
Nd 144.24 Nd.upf
Sn 118.71 Sn.upf
Pt 195.08 Pt.upf
CELL_PARAMETERS angstrom
0.000 3.861 3.861
3.861 0.000 3.861
3.861 3.861 0.000
ATOMIC_POSITIONS angstrom
Nd 0.000 0.000 0.000
Sn 1.930 1.930 1.930
Pt 4.824 2.898 2.898
Pt 2.898 4.824 2.898
Pt 2.898 2.898 4.824
Pt 4.824 4.824 4.824
```


Arrangement ii

A plane-wave DFT calculation with PBE was carried out for a relaxed structure of NdSnPt4. Values from VASP.

Properties
Fermi-level density of states = 0.66 states/eV per atom
volume = 130 Å³/f.u.
size of the total moment = 0.00 μB per atom

Structure (Quantum ESPRESSO input):
```
&SYSTEM
  ibrav = 0, nat = 12, ntyp = 3
/
ATOMIC_SPECIES
Nd 144.24 Nd.upf
Sn 118.71 Sn.upf
Pt 195.08 Pt.upf
CELL_PARAMETERS angstrom
2.186 -10.528 0.000
2.186 10.528 0.000
0.000 0.000 5.629
ATOMIC_POSITIONS angstrom
Nd 2.186 8.261 4.222
Nd 2.186 -8.261 1.407
Sn 2.186 2.157 4.222
Sn 2.186 -2.157 1.407
Pt 2.186 6.861 1.407
Pt 2.186 4.429 0.042
Pt 2.186 4.429 2.773
Pt 2.186 0.000 0.000
Pt 2.186 0.000 2.815
Pt 2.186 -4.429 2.857
Pt 2.186 -4.429 5.588
Pt 2.186 -6.861 4.222
```


Arrangement iii

A plane-wave DFT calculation with PBE was carried out for a relaxed structure of NdSnPt4. Values from VASP.

Properties
Fermi-level density of states = 0.71 states/eV per atom
volume = 137 Å³/f.u.
size of the total moment = 0.00 μB per atom

Structure (Quantum ESPRESSO input):
```
&SYSTEM
  ibrav = 0, nat = 12, ntyp = 3
/
ATOMIC_SPECIES
Nd 144.24 Nd.upf
Sn 118.71 Sn.upf
Pt 195.08 Pt.upf
CELL_PARAMETERS angstrom
5.459 0.000 0.000
0.000 5.459 0.000
0.000 0.000 9.188
ATOMIC_POSITIONS angstrom
Nd 1.365 4.094 2.297
Nd 4.094 1.365 6.891
Sn 1.365 4.094 6.891
Sn 4.094 1.365 2.297
Pt 0.102 1.365 0.163
Pt 1.365 0.102 4.757
Pt 1.365 2.627 4.757
Pt 2.627 1.365 0.163
Pt 2.831 4.094 9.025
Pt 4.094 2.831 4.431
Pt 4.094 5.357 4.431
Pt 5.357 4.094 9.025
```


The calculated energies rank the structures as follows, beginning with the most stable: arrangement i, arrangement ii, arrangement iii.